# 1
# PBE Na2PmGeS4, relaxed
# E_form (uncorrected): -1.141 eV per atom
# DOS(E_F): 0.3167 states/eV/atom
data_Na2PmGeS4
_chemical_formula_sum 'Na2 Pm1 Ge1 S4'
_symmetry_space_group_name_H-M 'P 1'
_symmetry_Int_Tables_number 1
_cell_length_a 3.9179
_cell_length_b 6.8524
_cell_length_c 7.0609
_cell_angle_alpha 108.66
_cell_angle_beta 90.00
_cell_angle_gamma 90.00
loop_
_symmetry_equiv_pos_as_xyz
'x,y,z'
loop_
_atom_site_label
_atom_site_fract_x
_atom_site_fract_y
_atom_site_fract_z
S1 0.5000 0.2229 0.2185
Na1 0.0000 0.5000 0.5000
S2 0.0000 0.2378 0.7739
Na2 0.5000 0.0000 0.5000
S3 0.5000 0.7771 0.7815
Ge1 0.0000 0.0000 0.0000
S4 0.0000 0.7622 0.2261
Pm1 0.5000 0.5000 0.0000

---

# 2
# PBE NaPmGeS4, relaxed
# E_form (uncorrected): -1.028 eV per atom
# DOS(E_F): 0.0993 states/eV/atom
data_NaPmGeS4
_chemical_formula_sum 'Na2 Pm2 Ge2 S8'
_symmetry_space_group_name_H-M 'P 1'
_symmetry_Int_Tables_number 1
_cell_length_a 7.5275
_cell_length_b 7.8007
_cell_length_c 7.8007
_cell_angle_alpha 63.26
_cell_angle_beta 61.15
_cell_angle_gamma 61.15
loop_
_symmetry_equiv_pos_as_xyz
'x,y,z'
loop_
_atom_site_label
_atom_site_fract_x
_atom_site_fract_y
_atom_site_fract_z
Pm1 0.0000 0.5000 0.5000
S1 0.2566 0.7250 0.7617
Pm2 0.0000 0.0000 0.0000
S2 0.7351 0.2557 0.7557
S3 0.7465 0.7443 0.2443
Na1 0.5000 0.0000 0.5000
S4 0.2649 0.7443 0.2443
S5 0.7434 0.2750 0.2383
S6 0.2535 0.2557 0.7557
Na2 0.0000 0.0000 0.5000
S7 0.2566 0.2617 0.2250
Ge1 0.6380 0.6120 0.1120
S8 0.7434 0.7383 0.7750
Ge2 0.3620 0.3880 0.8880

---

# 3
# PBE NaPmSnGe, relaxed
# DOS(E_F): 0.4842 states/eV/atom
# Formation energy: -0.290 eV/atom
data_NaPmSnGe
_chemical_formula_sum 'Na1 Pm1 Sn1 Ge1'
_symmetry_space_group_name_H-M 'P 1'
_symmetry_Int_Tables_number 1
_cell_length_a 5.2584
_cell_length_b 5.2584
_cell_length_c 5.2584
_cell_angle_alpha 60.00
_cell_angle_beta 60.00
_cell_angle_gamma 60.00
loop_
_symmetry_equiv_pos_as_xyz
'x,y,z'
loop_
_atom_site_label
_atom_site_fract_x
_atom_site_fract_y
_atom_site_fract_z
Ge1 0.2500 0.2500 0.2500
Pm1 0.5000 0.5000 0.5000
Na1 0.0000 0.0000 0.0000
Sn1 0.7500 0.7500 0.7500

---

# 4
# PBE NaPmZn2Ge2, relaxed
# DOS(E_F): 0.2157 states/eV/atom
# Formation energy: -0.403 eV/atom
data_NaPmZn2Ge2
_chemical_formula_sum 'Na1 Pm1 Zn2 Ge2'
_symmetry_space_group_name_H-M 'P 1'
_symmetry_Int_Tables_number 1
_cell_length_a 4.3150
_cell_length_b 4.3150
_cell_length_c 7.9951
_cell_angle_alpha 90.00
_cell_angle_beta 90.00
_cell_angle_gamma 120.00
loop_
_symmetry_equiv_pos_as_xyz
'x,y,z'
loop_
_atom_site_label
_atom_site_fract_x
_atom_site_fract_y
_atom_site_fract_z
Ge1 0.6667 0.3333 0.7338
Pm1 0.0000 0.0000 0.5000
Zn1 0.6667 0.3333 0.2435
Zn2 0.3333 0.6667 0.7565
Ge2 0.3333 0.6667 0.2662
Na1 0.0000 0.0000 0.0000

---

# 5
# PBE Na2PmZnGe2, relaxed
# DOS(E_F): 0.4578 states/eV/atom
# Formation energy: -0.354 eV/atom
data_Na2PmZnGe2
_chemical_formula_sum 'Na4 Pm2 Zn2 Ge4'
_symmetry_space_group_name_H-M 'P 1'
_symmetry_Int_Tables_number 1
_cell_length_a 4.4636
_cell_length_b 7.3769
_cell_length_c 8.5193
_cell_angle_alpha 90.00
_cell_angle_beta 90.00
_cell_angle_gamma 90.00
loop_
_symmetry_equiv_pos_as_xyz
'x,y,z'
loop_
_atom_site_label
_atom_site_fract_x
_atom_site_fract_y
_atom_site_fract_z
Na1 0.5000 0.0187 0.0839
Zn1 0.5000 0.6558 0.3142
Pm1 0.0000 0.5048 0.5413
Ge1 0.0000 0.2379 0.8121
Ge2 0.0000 0.7379 0.1879
Na2 0.0000 0.8400 0.8490
Pm2 0.0000 0.0048 0.4587
Na3 0.5000 0.5187 0.9161
Zn2 0.5000 0.1558 0.6858
Ge3 0.5000 0.7884 0.6129
Na4 0.0000 0.3400 0.1510
Ge4 0.5000 0.2884 0.3871

---

# 6
# PBE NaPrGe, relaxed
# DOS(E_F): 0.6087 states/eV/atom
# Formation energy: -0.243 eV/atom
data_NaPrGe
_chemical_formula_sum 'Na2 Pr2 Ge2'
_symmetry_space_group_name_H-M 'P 1'
_symmetry_Int_Tables_number 1
_cell_length_a 4.8516
_cell_length_b 4.8516
_cell_length_c 9.5508
_cell_angle_alpha 75.29
_cell_angle_beta 75.29
_cell_angle_gamma 60.00
loop_
_symmetry_equiv_pos_as_xyz
'x,y,z'
loop_
_atom_site_label
_atom_site_fract_x
_atom_site_fract_y
_atom_site_fract_z
Ge1 0.4154 0.4154 0.7537
Na1 0.8683 0.8683 0.3952
Pr1 0.2873 0.2873 0.1382
Pr2 0.7127 0.7127 0.8618
Na2 0.1317 0.1317 0.6048
Ge2 0.5846 0.5846 0.2463